The following is a PBE+U calculation of a relaxed PaV2CoO8 crystal, from Alexandria.

Summary:
Its mass density is 4.9 g/cm³. The value obtained for the total energy is -7.87 eV/atom.

Cell lengths 5.939, 5.939, 5.714 Å; angles 90.00, 90.00, 120.00 degrees
Each line ends with the local moment (μB).
Atoms (fractional coordinates):
Pa1 0.000 0.000 0.000  -0.11
V1 0.667 0.333 0.335  -0.03
V2 0.333 0.667 0.665  -0.03
Co1 0.000 0.000 0.500  2.08
O1 0.835 0.165 0.243  0.01
O2 0.835 0.669 0.243  0.01
O3 0.331 0.165 0.243  0.01
O4 0.669 0.835 0.757  0.01
O5 0.333 0.667 0.380  0.01
O6 0.667 0.333 0.620  0.01
O7 0.165 0.835 0.757  0.01
O8 0.165 0.331 0.757  0.01